This record from the Alexandria database describes crystalline YIrOs at its relaxed geometry. The functional is PBE.

D(E_F) ... 1.267 states/eV/atom
Total magnetic moment ... 0.0 μB/f.u.
ΔH_f (0 K) ... 0.4526 eV/atom
Total DFT energy (no corrections) ... -8.40 eV/atom
Excess energy over the best structure of this formula in the dataset ... 3.009 eV per formula unit

a b c (Å): 2.8764 2.8764 7.3352
angles (deg): 90.00 90.00 120.00
Space group P3m1 (No. 156)
Asymmetric unit:
1 Y 0.0000 0.0000 0.0000 x1
2 Ir 0.6667 0.3333 0.3535 x1
3 Os 0.3333 0.6667 0.6416 x1